An optimized crystal structure of Sb8Pb7S19. Source: Alexandria via LeMat-Bulk, functional PBE.

Calculated values
Formation energy (no corrections) (eV/atom): -0.3695
Crystal system: monoclinic
Uncorrected energy (eV for the cell shown): -299.8

Cell: 9.153 9.153 23.291 Å, 94.89 94.89 76.27°
Element x y z (fractional)
Sb (0.029, 0.233, 0.510)
Sb (0.068, 0.741, 0.679)
Sb (0.233, 0.029, 0.010)
Sb (0.256, 0.458, 0.386)
Sb (0.259, 0.932, 0.821)
Sb (0.385, 0.396, 0.061)
Sb (0.396, 0.385, 0.561)
Sb (0.458, 0.256, 0.886)
Sb (0.542, 0.744, 0.114)
Sb (0.604, 0.615, 0.439)
Sb (0.615, 0.604, 0.939)
Sb (0.741, 0.068, 0.179)
Sb (0.744, 0.542, 0.614)
Sb (0.767, 0.971, 0.990)
Sb (0.932, 0.259, 0.321)
Sb (0.971, 0.767, 0.490)
Pb (0.074, 0.621, 0.937)
Pb (0.099, 0.752, 0.124)
Pb (0.128, 0.272, 0.686)
Pb (0.248, 0.901, 0.376)
Pb (0.272, 0.128, 0.186)
Pb (0.379, 0.926, 0.563)
Pb (0.488, 0.512, 0.750)
Pb (0.512, 0.488, 0.250)
Pb (0.621, 0.074, 0.437)
Pb (0.728, 0.872, 0.814)
Pb (0.752, 0.099, 0.624)
Pb (0.872, 0.728, 0.314)
Pb (0.901, 0.248, 0.876)
Pb (0.926, 0.379, 0.063)
S (0.029, 0.971, 0.750)
S (0.039, 0.063, 0.081)
S (0.063, 0.039, 0.581)
S (0.072, 0.445, 0.582)
S (0.138, 0.301, 0.978)
S (0.164, 0.550, 0.748)
S (0.197, 0.633, 0.309)
S (0.209, 0.233, 0.317)
S (0.210, 0.435, 0.139)
S (0.233, 0.209, 0.817)
S (0.289, 0.679, 0.031)
S (0.301, 0.138, 0.478)
S (0.321, 0.711, 0.469)
S (0.367, 0.803, 0.191)
S (0.392, 0.543, 0.873)
S (0.435, 0.210, 0.639)
S (0.445, 0.072, 0.082)
S (0.450, 0.836, 0.752)
S (0.457, 0.608, 0.627)
S (0.543, 0.392, 0.373)
S (0.550, 0.164, 0.248)
S (0.555, 0.928, 0.918)
S (0.565, 0.790, 0.361)
S (0.608, 0.457, 0.127)
S (0.633, 0.197, 0.809)
S (0.679, 0.289, 0.531)
S (0.699, 0.862, 0.522)
S (0.711, 0.321, 0.969)
S (0.767, 0.791, 0.183)
S (0.790, 0.565, 0.861)
S (0.791, 0.767, 0.683)
S (0.803, 0.367, 0.691)
S (0.836, 0.450, 0.252)
S (0.862, 0.699, 0.022)
S (0.928, 0.555, 0.418)
S (0.937, 0.961, 0.419)
S (0.961, 0.937, 0.919)
S (0.971, 0.029, 0.250)